# 1
## Li2Ag (PBE)

Data for a relaxed structure of Li2Ag.

```
data_Li2Ag
_space_group_name_H-M_alt 'I 4/m m m'
_space_group_IT_number 139
_space_group_name_Hall '-I 4 2'
_cell_length_a 3.3569
_cell_length_b 3.3569
_cell_length_c 8.8085
_cell_angle_alpha 90.00
_cell_angle_beta 90.00
_cell_angle_gamma 90.00
loop_
_atom_site_label
_atom_site_type_symbol
_atom_site_fract_x
_atom_site_fract_y
_atom_site_fract_z
Li1 Li 0.0000 0.0000 0.1598
Ag1 Ag 0.0000 0.0000 0.5000
```

Calculated values
As for the size of the total moment: 0.0 Bohr magnetons per cell. The calculated total energy is -7.19 eV/f.u. As for the crystal system: tetragonal.


# 2
## Li4Ag (PBE)

Data for a relaxed structure of Li4Ag.

```
data_Li4Ag
_space_group_name_H-M_alt 'I 4/m m m'
_space_group_IT_number 139
_space_group_name_Hall '-I 4 2'
_cell_length_a 3.6477
_cell_length_b 3.6477
_cell_length_c 13.8997
_cell_angle_alpha 90.00
_cell_angle_beta 90.00
_cell_angle_gamma 90.00
loop_
_atom_site_label
_atom_site_type_symbol
_atom_site_fract_x
_atom_site_fract_y
_atom_site_fract_z
Li1 Li 0.0000 0.0000 0.0906
Li2 Li 0.0000 0.5000 0.2500
Ag1 Ag 0.0000 0.0000 0.5000
```

Calculated values
The calculation puts the relative energy among the computed polymorphs at 1.04 eV per formula unit. As for the size of the total moment: 0.0 Bohr magnetons per cell. The calculated total energy is -10.08 eV/f.u. As for the crystal system: tetragonal.